[1]
The following is a PBE calculation of an optimized crystal structure of VFePt14, from the Alexandria database.

**ΔE_f**: -205 meV/atom
**Symmetry**: No. 123
**ρ**: 19.24 g/cm3
**Electronic total energy**: -0.2422 hartree per atom

The structure in POSCAR format:
```
VFePt14
1.0
-1.980 -0.403 5.221
4.282 -3.337 1.365
4.208 6.251 2.079
V Fe Pt
1 1 14
Cartesian
4.119 -0.147 6.802
2.967 1.723 3.509
2.015 -3.273 5.763
0.864 -1.403 2.470
1.978 1.521 6.120
-0.126 -1.604 5.080
5.109 0.054 4.192
3.005 -3.071 3.153
0.384 0.958 3.978
2.406 3.961 4.977
3.530 -0.516 2.042
5.551 2.487 3.040
2.535 -0.718 4.664
4.556 2.285 5.662
1.379 1.161 1.356
3.400 4.163 2.355
```

---

[2]
The following is a PBE calculation of an optimized crystal structure of VFe4Pt, from the Alexandria database.

**ΔE_f**: -150 meV/atom
**Symmetry**: No. 216
**ρ**: 10.54 g/cm3
**Electronic total energy**: -0.3057 hartree per atom

The structure in POSCAR format:
```
VFe4Pt
1.0
-3.911 -1.476 -2.175
0.316 -2.413 -4.035
-1.056 -4.591 -0.088
Fe Pt V
4 1 1
Cartesian
-2.379 -3.005 -3.892
-3.065 -4.094 -1.919
-2.907 -5.300 -3.936
-0.952 -4.562 -2.849
0.000 0.000 0.000
-1.163 -2.120 -1.575
```

---

[3]
The following is a PBE calculation of an optimized crystal structure of VFe3Pt, from the Alexandria database.

**ΔE_f**: 1378 meV/atom
**Symmetry**: No. 221
**ρ**: 6.80 g/cm3
**Electronic total energy**: -0.2474 hartree per atom

The structure in POSCAR format:
```
VFe3Pt
1.0
-2.524 3.148 -2.324
-3.892 -2.306 1.103
-0.404 2.540 3.881
Fe Pt V
3 1 1
Cartesian
-1.946 -1.153 0.552
-0.202 1.270 1.941
-1.262 1.574 -1.162
0.000 0.000 0.000
-3.410 1.691 1.331
```

---

[4]
The following is a PBE calculation of an optimized crystal structure of V3Fe3Pt, from the Alexandria database.

**ΔE_f**: -19 meV/atom
**Symmetry**: No. 65
**ρ**: 9.57 g/cm3
**Electronic total energy**: -0.3093 hartree per atom

The structure in POSCAR format:
```
V3Fe3Pt
1.0
-5.477 -1.332 0.927
1.414 -5.319 -1.530
1.175 -1.192 5.233
V Fe Pt
6 6 2
Cartesian
-0.417 -2.240 2.467
0.088 -4.808 1.769
-2.976 -3.035 2.861
-0.180 -4.397 -0.961
-3.883 -2.254 0.358
-2.471 -5.603 2.162
-3.185 -7.541 3.304
-2.433 -0.976 1.824
1.013 -2.970 0.596
-0.455 -6.867 2.805
-3.901 -4.874 4.034
0.298 -0.302 1.325
-0.154 -3.369 5.035
-2.734 -4.475 -0.406
```

---

[5]
The following is a PBE calculation of an optimized crystal structure of V2Fe3Pt2, from the Alexandria database.

**ΔE_f**: -222 meV/atom
**Symmetry**: No. 2
**ρ**: 11.73 g/cm3
**Electronic total energy**: -0.3006 hartree per atom

The structure in POSCAR format:
```
V2Fe3Pt2
1.0
-2.987 1.317 3.233
2.853 -0.015 3.711
2.108 3.943 -0.771
V Fe Pt
2 3 2
Cartesian
2.804 2.544 2.690
-0.830 2.701 3.482
0.715 0.886 2.336
0.000 0.000 0.000
1.258 4.359 3.837
1.275 1.884 4.766
0.698 3.361 1.407
```

---

[6]
The following is a PBE calculation of an optimized crystal structure of V2Fe2Pt, from the Alexandria database.

**ΔE_f**: -198 meV/atom
**Symmetry**: No. 127
**ρ**: 10.83 g/cm3
**Electronic total energy**: -0.3101 hartree per atom

The structure in POSCAR format:
```
V2Fe2Pt
1.0
6.718 0.000 0.000
0.000 6.718 0.000
0.000 0.000 2.778
Fe Pt V
4 2 4
Cartesian
2.472 5.831 0.000
5.831 4.246 0.000
4.246 0.887 0.000
0.887 2.472 0.000
0.000 0.000 0.000
3.359 3.359 0.000
1.104 4.463 1.389
4.463 5.614 1.389
5.614 2.255 1.389
2.255 1.104 1.389
```

---

[7]
The following is a PBE calculation of an optimized crystal structure of V3FePt6, from the Alexandria database.

**ΔE_f**: -468 meV/atom
**Symmetry**: No. 11
**ρ**: 15.72 g/cm3
**Electronic total energy**: -0.2820 hartree per atom

The structure in POSCAR format:
```
V3FePt6
1.0
-3.280 -2.347 1.905
0.105 -4.668 -5.570
6.028 -2.271 7.579
V Fe Pt
6 2 12
Cartesian
1.496 -4.085 0.153
1.357 -5.201 3.762
3.828 -4.004 4.268
-0.975 -5.283 -0.353
5.105 -6.359 3.565
-2.252 -2.928 0.350
2.696 -6.373 -0.599
0.157 -2.913 4.513
-0.353 -2.941 -1.619
3.206 -6.345 5.534
0.166 -1.723 0.773
2.688 -7.563 3.142
3.284 -5.170 1.895
-0.431 -4.117 2.020
2.053 -2.873 2.606
0.800 -6.413 1.309
0.937 -5.229 -2.218
1.917 -4.058 6.133
4.387 -2.869 6.629
-1.534 -6.418 -2.714
```

---

[8]
The following is a PBE calculation of an optimized crystal structure of V3FePt, from the Alexandria database.

**ΔE_f**: 496 meV/atom
**Symmetry**: No. 221
**ρ**: 8.80 g/cm3
**Electronic total energy**: -0.2894 hartree per atom

The structure in POSCAR format:
```
V3FePt
1.0
-3.070 2.887 0.453
-2.860 -3.103 0.398
0.603 -0.018 4.196
Fe Pt V
1 1 3
Cartesian
0.000 0.000 0.000
-2.664 -0.117 2.523
-1.430 -1.552 0.199
0.301 -0.009 2.098
-1.535 1.444 0.227
```

---

[9]
The following is a PBE calculation of an optimized crystal structure of V6FePt, from the Alexandria database.

**ΔE_f**: -216 meV/atom
**Symmetry**: No. 38
**ρ**: 8.72 g/cm3
**Electronic total energy**: -0.3259 hartree per atom

The structure in POSCAR format:
```
V6FePt
1.0
3.023 0.000 0.000
0.000 5.788 -1.252
0.000 1.332 5.771
V Fe Pt
6 1 1
Cartesian
1.511 4.733 4.244
1.511 1.265 2.043
1.511 1.926 4.834
0.000 5.879 2.477
0.000 2.376 0.254
0.000 3.010 3.125
1.511 4.050 1.487
0.000 5.243 -0.393
```

---

[10]
The following is a PBE calculation of an optimized crystal structure of VFe3Pt12, from the Alexandria database.

**ΔE_f**: -279 meV/atom
**Symmetry**: No. 123
**ρ**: 17.68 g/cm3
**Electronic total energy**: -0.2560 hartree per atom

The structure in POSCAR format:
```
VFe3Pt12
1.0
-0.058 -3.454 1.847
2.690 -1.378 -2.492
11.384 4.925 9.564
V Fe Pt
1 3 12
Cartesian
0.000 0.000 0.000
2.865 1.240 2.407
5.692 2.462 4.782
8.519 3.685 7.157
1.316 -2.416 -0.323
4.157 -1.187 2.064
7.008 0.047 4.460
9.859 1.280 6.855
1.379 -1.118 2.107
4.237 0.118 4.507
7.090 1.353 6.904
9.947 2.589 9.305
2.753 -0.080 -0.063
5.611 1.157 2.338
8.463 2.391 4.734
11.321 3.627 7.135
```

---

[11]
The following is a PBE calculation of an optimized crystal structure of VFe5Pt8, from the Alexandria database.

**ΔE_f**: -34 meV/atom
**Symmetry**: No. 82
**ρ**: 14.69 g/cm3
**Electronic total energy**: -0.2631 hartree per atom

The structure in POSCAR format:
```
VFe5Pt8
1.0
-3.593 3.769 -3.930
3.078 -4.491 -3.595
-3.801 -3.012 4.364
V Fe Pt
1 5 8
Cartesian
-2.210 -3.562 0.493
0.453 -1.526 -0.684
-1.137 -1.309 -6.017
-3.489 -2.338 -2.552
-3.697 0.379 0.217
-4.461 -2.293 2.932
1.402 -2.758 -2.744
-5.532 1.312 -1.226
-3.192 0.568 -2.408
-4.607 -2.134 0.015
-0.973 -1.470 -3.102
-2.425 -4.673 -1.721
-2.078 -1.348 -0.630
0.138 -4.430 -0.826
```

---

[12]
The following is a PBE calculation of an optimized crystal structure of VFe5Pt6, from the Alexandria database.

**ΔE_f**: -328 meV/atom
**Symmetry**: No. 65
**ρ**: 14.76 g/cm3
**Electronic total energy**: -0.2806 hartree per atom

The structure in POSCAR format:
```
VFe5Pt6
1.0
3.653 -0.018 1.217
0.034 7.581 0.011
-0.003 -0.009 6.097
Fe Pt V
5 6 1
Cartesian
2.446 3.773 4.895
1.219 -0.009 2.433
0.017 3.791 0.006
2.432 -0.018 4.882
1.238 3.782 2.430
3.068 5.670 3.055
3.051 1.875 3.050
1.835 1.859 0.611
1.852 5.705 0.617
0.632 5.679 4.276
0.615 1.884 4.270
0.000 0.000 0.000
```

---

[13]
The following is a PBE calculation of an optimized crystal structure of V2FePt7, from the Alexandria database.

**ΔE_f**: 155 meV/atom
**Symmetry**: No. 65
**ρ**: 13.63 g/cm3
**Electronic total energy**: -0.2478 hartree per atom

The structure in POSCAR format:
```
V2FePt7
1.0
3.956 0.000 0.000
0.000 7.417 -0.359
0.000 -3.594 6.497
V Fe Pt
2 1 7
Cartesian
1.978 4.044 1.741
1.978 -0.222 4.397
0.000 0.000 0.000
0.000 5.184 1.031
0.000 -1.362 5.107
1.978 -0.434 1.891
1.978 4.256 4.247
1.978 1.889 0.445
1.978 1.934 5.693
1.978 1.911 3.069
```

---

[14]
The following is a PBE calculation of an optimized crystal structure of V2Fe2Pt, from the Alexandria database.

**ΔE_f**: -1 meV/atom
**Symmetry**: No. 127
**ρ**: 10.58 g/cm3
**Electronic total energy**: -0.3029 hartree per atom

The structure in POSCAR format:
```
V2Fe2Pt
1.0
-1.253 6.744 0.492
-6.144 -0.927 -2.947
-1.114 -0.385 2.444
Fe Pt V
4 2 4
Cartesian
-4.705 0.190 -0.609
-6.616 3.369 -0.979
-3.806 5.242 0.597
-1.895 2.063 0.967
0.000 0.000 0.000
-3.699 2.909 -1.228
-5.680 1.587 -2.339
-5.047 5.149 -1.489
-1.718 4.230 -0.116
-2.351 0.668 -0.966
```

---

[15]
The following is a PBE calculation of an optimized crystal structure of V3Fe2Pt3, from the Alexandria database.

**ΔE_f**: -374 meV/atom
**Symmetry**: No. 71
**ρ**: 12.90 g/cm3
**Electronic total energy**: -0.3004 hartree per atom

The structure in POSCAR format:
```
V3Fe2Pt3
1.0
-3.364 -1.438 0.992
-0.072 -2.061 -3.233
5.185 -3.917 4.657
V Fe Pt
3 2 3
Cartesian
2.479 -5.143 0.949
-1.718 -1.750 -1.120
-0.730 -2.274 1.468
0.018 -4.587 0.651
1.731 -2.830 1.765
0.896 -4.933 3.126
0.853 -2.484 -0.710
0.000 0.000 0.000
```

---

[16]
The following is a PBE calculation of an optimized crystal structure of V2Fe2Pt3, from the Alexandria database.

**ΔE_f**: -258 meV/atom
**Symmetry**: No. 65
**ρ**: 13.55 g/cm3
**Electronic total energy**: -0.2892 hartree per atom

The structure in POSCAR format:
```
V2Fe2Pt3
1.0
4.022 0.000 0.534
0.000 2.678 0.000
0.826 0.000 9.198
V Fe Pt
2 2 3
Cartesian
3.335 1.339 5.712
1.513 1.339 4.020
3.004 1.339 8.202
1.843 1.339 1.530
3.661 0.000 3.254
0.000 0.000 0.000
1.187 0.000 6.478
```

---

[17]
The following is a PBE calculation of an optimized crystal structure of VFe3Pt, from the Alexandria database.

**ΔE_f**: 953 meV/atom
**Symmetry**: No. 221
**ρ**: 9.34 g/cm3
**Electronic total energy**: -0.2630 hartree per atom

The structure in POSCAR format:
```
VFe3Pt
1.0
4.190 0.000 0.000
0.000 4.190 0.000
0.000 0.000 4.190
Fe Pt V
3 1 1
Cartesian
0.000 2.095 0.000
0.000 0.000 2.095
2.095 0.000 0.000
2.095 2.095 2.095
0.000 0.000 0.000
```

---

[18]
The following is a PBE calculation of an optimized crystal structure of Fe2PtW, from the Alexandria database.

**ΔE_f**: 12 meV/atom
**Symmetry**: No. 47
**ρ**: 14.96 g/cm3
**Electronic total energy**: -0.3295 hartree per atom

The structure in POSCAR format:
```
Fe2PtW
1.0
2.728 0.000 0.000
0.000 3.659 0.000
0.000 0.000 5.456
Fe Pt W
2 1 1
Cartesian
0.000 0.000 5.417
0.000 0.000 2.766
1.364 1.829 1.364
1.364 1.829 4.092
```

---

[19]
The following is a PBE calculation of an optimized crystal structure of FePtW2, from the Alexandria database.

**ΔE_f**: 341 meV/atom
**Symmetry**: No. 225
**ρ**: 16.96 g/cm3
**Electronic total energy**: -0.3587 hartree per atom

The structure in POSCAR format:
```
FePtW2
1.0
0.248 -4.381 0.425
-3.098 -2.174 2.260
-2.870 -2.586 -2.123
W Pt Fe
2 1 1
Cartesian
-1.430 -2.285 0.140
-4.290 -6.855 0.421
-2.860 -4.570 0.281
0.000 0.000 0.000
```

---

[20]
The following is a PBE calculation of an optimized crystal structure of FePt2W, from the Alexandria database.

**ΔE_f**: -174 meV/atom
**Symmetry**: No. 65
**ρ**: 17.56 g/cm3
**Electronic total energy**: -0.3141 hartree per atom

The structure in POSCAR format:
```
FePt2W
1.0
4.841 -0.005 0.000
-1.744 4.515 0.000
0.000 0.000 2.726
W Pt Fe
1 2 1
Cartesian
2.420 -0.003 1.363
0.000 0.000 0.000
1.548 2.255 0.000
-0.872 2.258 1.363
```

---

[21]
The following is a PBE calculation of an optimized crystal structure of FePtW4, from the Alexandria database.

**ΔE_f**: 527 meV/atom
**Symmetry**: No. 216
**ρ**: 16.45 g/cm3
**Electronic total energy**: -0.3868 hartree per atom

The structure in POSCAR format:
```
FePtW4
1.0
0.000 3.679 3.679
3.679 0.000 3.679
3.679 3.679 0.000
Fe Pt W
1 1 4
Cartesian
5.518 5.518 5.518
0.000 0.000 0.000
2.766 2.766 2.766
4.592 2.766 4.592
4.592 4.592 2.766
2.766 4.592 4.592
```

---

[22]
The following is a PBE calculation of an optimized crystal structure of FePtW, from the Alexandria database.

**ΔE_f**: 86 meV/atom
**Symmetry**: No. 156
**ρ**: 16.31 g/cm3
**Electronic total energy**: -0.3332 hartree per atom

The structure in POSCAR format:
```
FePtW
1.0
-2.044 -0.966 1.584
1.481 -1.736 -1.552
4.323 -0.840 5.065
Fe Pt W
1 1 1
Cartesian
0.014 -0.003 0.017
0.538 -1.496 2.187
3.208 -2.043 2.894
```

---

[23]
The following is a PBE calculation of an optimized crystal structure of FePtW, from the Alexandria database.

**ΔE_f**: -9 meV/atom
**Symmetry**: No. 107
**ρ**: 16.63 g/cm3
**Electronic total energy**: -0.3367 hartree per atom

The structure in POSCAR format:
```
FePtW
1.0
-0.291 -4.415 1.823
1.082 -3.949 -2.478
1.757 4.331 1.030
Fe Pt W
1 1 1
Cartesian
0.006 -0.068 -0.005
0.266 -2.811 -0.220
0.519 -5.485 -0.429
```

---

[24]
The following is a PBE calculation of an optimized crystal structure of FePtW, from the Alexandria database.

**ΔE_f**: -97 meV/atom
**Symmetry**: No. 44
**ρ**: 16.78 g/cm3
**Electronic total energy**: -0.3399 hartree per atom

The structure in POSCAR format:
```
FePtW
1.0
4.742 0.006 -0.006
2.396 4.092 0.006
-3.172 -2.740 2.217
W Pt Fe
1 1 1
Cartesian
4.719 2.710 0.000
2.393 1.374 0.000
0.026 0.015 0.000
```